Below is an optimized crystal structure of Ho6ErTm6, with properties calculated at the GGA-PBE level.

* calculated formation energy: 0.23 eV/atom

Cell: 6.4821 6.4821 10.8506 Å, 90.00 90.00 115.33°
Closest atoms and distances in Å follow each position.
Positions (direct):
Ho (0.0000, 0.0000, 0.1678)  3 Ho 3.40-3.64, 6 Tm 3.44-3.48, 1 Er 3.60
Ho (0.0000, 0.0000, 0.8322)  3 Ho 3.40-3.64, 6 Tm 3.44-3.48, 1 Er 3.60
Ho (0.2622, 0.7378, 0.0000)  6 Tm 3.38-3.45, 4 Ho 3.40-3.48
Ho (0.3557, 0.6443, 0.5000)  1 Ho 3.16, 4 Tm 3.21
Ho (0.6443, 0.3557, 0.5000)  1 Ho 3.16, 4 Tm 3.21
Ho (0.7378, 0.2622, 0.0000)  6 Tm 3.38-3.45, 4 Ho 3.40-3.48
Er (0.0000, 0.0000, 0.5000)  8 Ho 3.60-3.90
Tm (0.0000, 0.5000, 0.2750)  6 Ho 3.21-3.45, 4 Tm 3.35-3.47
Tm (0.0000, 0.5000, 0.7250)  6 Ho 3.21-3.45, 4 Tm 3.35-3.47
Tm (0.5000, 0.0000, 0.2750)  6 Ho 3.21-3.45, 4 Tm 3.35-3.47
Tm (0.5000, 0.0000, 0.7250)  6 Ho 3.21-3.45, 4 Tm 3.35-3.47
Tm (0.5000, 0.5000, 0.1981)  4 Tm 3.35, 6 Ho 3.38-3.64
Tm (0.5000, 0.5000, 0.8019)  4 Tm 3.35, 6 Ho 3.38-3.64

Below is an optimized crystal structure of TaTeRu2, with properties calculated at the GGA-PBE level.

* formation energy without anion corrections: 0.3 eV per formula unit

Cell: 4.1615 4.1615 7.6167 Å, 90.00 90.00 90.00°
Closest atoms and distances in Å follow each position.
Positions (direct):
Ta (0.0000, 0.0000, 0.0000)  8 Ru 2.82, 4 Te 2.94
Ta (0.5000, 0.5000, 0.5000)  8 Ru 2.82, 4 Te 2.94
Te (0.0000, 0.0000, 0.5000)  8 Ru 2.82, 4 Ta 2.94
Te (0.5000, 0.5000, 0.0000)  8 Ru 2.82, 4 Ta 2.94
Ru (0.0000, 0.5000, 0.2500)  4 Ta 2.82, 4 Te 2.82, 4 Ru 2.94
Ru (0.0000, 0.5000, 0.7500)  4 Ta 2.82, 4 Te 2.82, 4 Ru 2.94
Ru (0.5000, 0.0000, 0.2500)  4 Ta 2.82, 4 Te 2.82, 4 Ru 2.94
Ru (0.5000, 0.0000, 0.7500)  4 Ta 2.82, 4 Te 2.82, 4 Ru 2.94

Below is an optimized crystal structure of FeTe2Pb, with properties calculated at the GGA-PBE level.

* formation energy without anion corrections: -0.1 eV per formula unit

Cell: 3.6644 3.6644 28.4337 Å, 90.00 90.00 120.00°
Closest atoms and distances in Å follow each position.
Positions (direct):
Fe (0.0000, 0.0000, 0.0000)  6 Te 2.56
Fe (0.3333, 0.6667, 0.6667)  6 Te 2.56
Fe (0.6667, 0.3333, 0.3333)  6 Te 2.56
Te (0.0000, 0.0000, 0.3842)  3 Fe 2.56
Te (0.0000, 0.0000, 0.6158)  3 Fe 2.56
Te (0.3333, 0.6667, 0.0508)  3 Fe 2.56
Te (0.3333, 0.6667, 0.2825)  3 Fe 2.56
Te (0.6667, 0.3333, 0.7175)  3 Fe 2.56
Te (0.6667, 0.3333, 0.9492)  3 Fe 2.56
Pb (0.0000, 0.0000, 0.5000)  2 Te 3.29, 6 Pb 3.66
Pb (0.3333, 0.6667, 0.1667)  2 Te 3.29, 6 Pb 3.66
Pb (0.6667, 0.3333, 0.8333)  2 Te 3.29, 6 Pb 3.66

Below is an optimized crystal structure of PaCd2Pt8, with properties calculated at the GGA-PBE level.

* calculated formation energy: -0.50 eV/atom

Cell: 4.0980 5.1106 10.3354 Å, 94.88 101.39 113.59°
Closest atoms and distances in Å follow each position.
Positions (direct):
Pa (0.0000, 0.0000, 0.0000)  12 Pt 2.88-2.97
Cd (0.4572, 0.5511, 0.3633)  11 Pt 2.87-2.96, 1 Cd 2.90
Cd (0.5428, 0.4489, 0.6367)  11 Pt 2.87-2.96, 1 Cd 2.90
Pt (0.0933, 0.9134, 0.2741)  8 Pt 2.85-3.00, 1 Pa 2.88, 3 Cd 2.91-2.96
Pt (0.1867, 0.8252, 0.5476)  7 Pt 2.85-3.02, 5 Cd 2.90-2.95
Pt (0.2758, 0.7334, 0.8180)  8 Pt 2.85-3.00, 2 Pa 2.88-2.89, 2 Cd 2.91
Pt (0.3652, 0.6404, 0.0906)  1 Cd 2.87, 8 Pt 2.87-2.95, 3 Pa 2.90-2.97
Pt (0.6348, 0.3596, 0.9094)  1 Cd 2.87, 8 Pt 2.87-2.95, 3 Pa 2.90-2.97
Pt (0.7242, 0.2666, 0.1820)  8 Pt 2.85-3.00, 2 Pa 2.88-2.89, 2 Cd 2.91
Pt (0.8133, 0.1748, 0.4524)  7 Pt 2.85-3.02, 5 Cd 2.90-2.95
Pt (0.9067, 0.0866, 0.7259)  8 Pt 2.85-3.00, 1 Pa 2.88, 3 Cd 2.91-2.96